# 1
## MnPt3 (GGA-PBE)

Data for MnPt3 after structural relaxation.

Results
DFT formation energy in meV per atom: -118
Space-group type: P-6m2, No. 187
Uncorrected energy in eV/atom: -6.94
Density of states at the Fermi level in states/eV/cell: 4.47
ρ in g/cm³: 17.20

abc: 2.8045 2.8045 9.0743
angles: 90.00 90.00 120.00
Positions (direct):
Mn (0.0000, 0.0000, 0.0000)
Pt (0.0000, 0.0000, 0.5000)
Pt (0.3333, 0.6667, 0.2332)
Pt (0.3333, 0.6667, 0.7668)



# 2
## MnPt (GGA-PBE)

Data for MnPt after structural relaxation.

Results
DFT formation energy in meV per atom: -82
Space-group type: P4/nmm, No. 129
Uncorrected energy in eV/atom: -7.69
Density of states at the Fermi level in states/eV/cell: 4.70
ρ in g/cm³: 14.44

abc: 2.8304 2.8304 7.1789
angles: 90.00 90.00 90.00
Positions (direct):
Mn (0.2500, 0.2500, 0.1171)
Mn (0.7500, 0.7500, 0.8829)
Pt (0.2500, 0.2500, 0.6466)
Pt (0.7500, 0.7500, 0.3534)



# 3
## Mn4Pt5 (GGA-PBE)

Data for Mn4Pt5 after structural relaxation.

Results
DFT formation energy in meV per atom: -248
Space-group type: P6_3/mcm, No. 193
Offset from the most stable computed form in meV per atom: 0
Uncorrected energy in eV/atom: -7.68
Density of states at the Fermi level in states/eV/cell: 13.12
ρ in g/cm³: 14.34

abc: 7.6707 7.6707 5.4332
angles: 90.00 90.00 120.00
Positions (direct):
Mn (0.0000, 0.0000, 0.0000)
Mn (0.0000, 0.0000, 0.5000)
Mn (0.0000, 0.3532, 0.2500)
Mn (0.0000, 0.6468, 0.7500)
Mn (0.3532, 0.0000, 0.2500)
Mn (0.3532, 0.3532, 0.7500)
Mn (0.6468, 0.0000, 0.7500)
Mn (0.6468, 0.6468, 0.2500)
Pt (0.0000, 0.3089, 0.7500)
Pt (0.0000, 0.6911, 0.2500)
Pt (0.3089, 0.0000, 0.7500)
Pt (0.3089, 0.3089, 0.2500)
Pt (0.3333, 0.6667, 0.0000)
Pt (0.3333, 0.6667, 0.5000)
Pt (0.6667, 0.3333, 0.0000)
Pt (0.6667, 0.3333, 0.5000)
Pt (0.6911, 0.0000, 0.2500)
Pt (0.6911, 0.6911, 0.7500)



# 4
## MnPt (GGA-PBE)

Data for MnPt after structural relaxation.

Results
DFT formation energy in meV per atom: 262
Space-group type: Fddd, No. 70
Uncorrected energy in eV/atom: -7.34
Density of states at the Fermi level in states/eV/cell: 8.46
ρ in g/cm³: 14.11

abc: 6.1276 5.7924 4.9784
angles: 68.87 61.85 49.27
Positions (direct):
Mn (0.0302, 0.7198, 0.7198)
Mn (0.2802, 0.9698, 0.9698)
Mn (0.7198, 0.0302, 0.0302)
Mn (0.9698, 0.2802, 0.2802)
Pt (0.1972, 0.5528, 0.1972)
Pt (0.4472, 0.8028, 0.4472)
Pt (0.5528, 0.1972, 0.5528)
Pt (0.8028, 0.4472, 0.8028)